(1)
12
Lattice="-1.179 5.164 3.040 -5.593 1.520 -4.752 -1.551 -4.130 6.415" Properties=species:S:1:pos:R:3 comment="BaCdSnPt3 PBE optimized geometry" formation_enthalpy_0k_mev_per_atom=-381 pbc="T T T"
Cd -8.026 1.265 3.941
Sn -3.663 -1.320 3.889
Sn -4.660 3.874 0.814
Pt -6.285 2.615 2.323
Pt -4.505 3.646 -1.806
Pt -2.039 -0.061 2.380
Pt -1.678 0.456 -1.426
Ba -3.230 2.055 4.459
Pt -3.915 1.064 -3.326
Pt -2.268 3.038 0.094
Cd -0.298 1.289 0.763
Ba -5.094 0.499 0.244

***

(2)
10
Lattice="-5.894 0.188 -4.144 3.786 -2.698 -5.508 -2.252 -5.979 -3.336" Properties=species:S:1:pos:R:3 comment="Ba2CdSnPt6 PBE optimized geometry" formation_enthalpy_0k_mev_per_atom=14 pbc="T T T"
Pt -0.532 -0.633 -2.436
Pt -3.828 -7.855 -10.552
Pt -2.713 -4.894 -8.900
Pt -3.451 -0.540 -4.488
Cd 0.000 0.000 0.000
Pt 1.343 -1.969 -5.164
Sn -1.054 -1.255 -4.826
Ba -4.600 -3.523 -6.153
Pt -1.648 -3.595 -4.088
Ba 0.240 -4.966 -6.835

***

(3)
5
Lattice="6.213 0.000 0.000 0.000 6.213 0.000 0.000 0.000 5.467" Properties=species:S:1:pos:R:3 comment="Ba2SrCdPt PBE optimized geometry" e_above_lowest_polymorph_ev_per_atom=0.108 formation_enthalpy_0k_mev_per_atom=-312 pbc="T T T"
Pt 0.000 0.000 0.000
Cd 0.000 0.000 2.733
Sr 3.107 3.107 2.733
Ba 3.107 0.000 0.000
Ba 0.000 3.107 0.000

***

(4)
5
Lattice="-4.706 -0.624 -3.500 -1.607 -4.806 3.017 -3.316 3.515 3.833" Properties=species:S:1:pos:R:3 comment="BaSr2CdPt PBE optimized geometry" e_above_lowest_polymorph_ev_per_atom=0.000 formation_enthalpy_0k_mev_per_atom=-433 pbc="T T T"
Sr -2.353 -0.312 -1.750
Cd -4.815 -0.957 1.676
Ba -1.658 1.758 1.917
Pt 0.000 0.000 0.000
Sr -0.803 -2.403 1.509

***

(5)
5
Lattice="5.924 0.000 0.000 0.000 5.924 0.000 0.000 0.000 5.501" Properties=species:S:1:pos:R:3 comment="BaSr2CdPt PBE optimized geometry" e_above_lowest_polymorph_ev_per_atom=0.082 formation_enthalpy_0k_mev_per_atom=-351 pbc="T T T"
Sr 2.962 0.000 0.000
Ba 2.962 2.962 2.751
Pt 0.000 0.000 0.000
Cd 0.000 0.000 2.751
Sr 0.000 2.962 0.000

***

(6)
5
Lattice="-1.427 -2.532 -5.461 4.183 -4.453 0.971 -4.127 -3.308 2.612" Properties=species:S:1:pos:R:3 comment="Ba2SrCdPt PBE optimized geometry" e_above_lowest_polymorph_ev_per_atom=0.000 formation_enthalpy_0k_mev_per_atom=-420 pbc="T T T"
Pt 0.000 0.000 0.000
Ba 2.092 -2.226 0.485
Cd -0.685 -5.146 -0.939
Ba -0.714 -1.266 -2.730
Sr -2.063 -1.654 1.306

***

(7)
5
Lattice="-3.898 3.796 -0.317 -2.863 -3.219 -3.338 -2.581 -2.282 4.414" Properties=species:S:1:pos:R:3 comment="BaSrCd2Pt PBE optimized geometry" formation_enthalpy_0k_mev_per_atom=-347 pbc="T T T"
Ba -4.671 -0.853 0.379
Pt 0.000 0.000 0.000
Cd -1.431 -1.610 -1.669
Cd -1.949 1.898 -0.159
Sr -1.291 -1.141 2.207

***

(8)
5
Lattice="5.192 0.000 0.000 0.000 5.194 0.000 0.000 0.000 5.192" Properties=species:S:1:pos:R:3 comment="BaTa2CdPt PBE optimized geometry" formation_enthalpy_0k_mev_per_atom=2577 pbc="T T T"
Ba 0.000 0.000 0.000
Cd 2.596 2.597 2.596
Ta 2.596 0.000 0.000
Pt 0.000 2.597 0.000
Ta 0.000 0.000 2.596